First-principles (SCAN) data for a PBEsol-optimized structure of Li2CaP2, as listed in the Alexandria database.

Cell and atoms, written as extended XYZ:
```
5
Lattice="4.021 0.000 0.000 0.000 4.021 0.000 -2.010 -2.010 5.160" Properties=species:S:1:pos:R:3 pbc="T T T"
Li 2.010 0.000 2.580
Ca 0.000 0.000 0.000
P 0.000 0.000 4.034
Li 0.000 2.010 2.580
P 2.010 2.010 1.126
```

Energy of formation ... -4.7 eV per formula unit
Theoretical density ... 2.31 g/cm3
Magnetic moment ... 0.000 μB per atom